# 1
DFT (GGA-PBE) results for an optimized crystal structure of CrOs2IBr.

The final energy comes out at -5.35 eV/atom. The density is 10.5 g/cm³. The calculation puts the total moment at 0.00 Bohr magnetons per cell. The formation energy (no corrections) comes out at 1.706 eV/atom.

a b c (Å): 4.6593 4.6593 4.6703
angles (deg): 90.00 90.00 90.00
Last column: nearest neighbours and their distance in Å.
Space group P4/mmm (No. 123)
Asymmetric unit:
Cr 0.0000 0.0000 0.0000 (multiplicity 1)  4 Os 2.33, 2 Br 2.34
Os 0.0000 0.5000 0.0000 (multiplicity 2)  2 Cr 2.33
I 0.5000 0.5000 0.5000 (multiplicity 1)  4 Br 3.29, 8 Os 3.30
Br 0.0000 0.0000 0.5000 (multiplicity 1)  2 Cr 2.34

---

# 2
DFT (GGA-PBE) results for an optimized crystal structure of RbCrIBr2.

The final energy comes out at -4.06 eV/atom. The density is 4.3 g/cm³. The calculation puts the total moment at 4.00 Bohr magnetons per cell. The formation energy (no corrections) comes out at -0.963 eV/atom.

a b c (Å): 5.3255 5.3255 5.7474
angles (deg): 90.00 90.00 90.00
Last column: nearest neighbours and their distance in Å.
Space group P4/mmm (No. 123)
Asymmetric unit:
Rb 0.0000 0.0000 0.0000 (multiplicity 1)  4 I 3.77, 8 Br 3.92
Cr 0.5000 0.5000 0.5000 (multiplicity 1)  4 Br 2.66, 2 I 2.87
I 0.5000 0.5000 0.0000 (multiplicity 1)  2 Cr 2.87
Br 0.0000 0.5000 0.5000 (multiplicity 2)  2 Cr 2.66

---

# 3
DFT (GGA-PBE) results for an optimized crystal structure of Cr2RhIBr.

The final energy comes out at -5.25 eV/atom. The density is 5.2 g/cm³. The calculation puts the total moment at 8.97 Bohr magnetons per cell. The formation energy (no corrections) comes out at 0.716 eV/atom.

a b c (Å): 5.1703 5.1703 4.9824
angles (deg): 90.00 90.00 90.00
Last column: nearest neighbours and their distance in Å.
Space group P4/mmm (No. 123)
Asymmetric unit:
Cr 0.0000 0.5000 0.0000 (multiplicity 2)  2 Rh 2.59
Rh 0.0000 0.0000 0.0000 (multiplicity 1)  2 I 2.49, 4 Cr 2.59
I 0.0000 0.0000 0.5000 (multiplicity 1)  2 Rh 2.49
Br 0.5000 0.5000 0.5000 (multiplicity 1)  8 Cr 3.59, 4 I 3.66

---

# 4
DFT (GGA-PBE) results for an optimized crystal structure of CrSb2IBr.

The final energy comes out at -2.55 eV/atom. The value obtained for the energy above the most stable polymorph in this dataset is 1398.9 meV/atom. The density is 4.9 g/cm³. The calculation puts the total moment at 0.18 Bohr magnetons per cell. The formation energy (no corrections) comes out at 1.665 eV/atom.

a b c (Å): 5.5467 5.5467 5.5695
angles (deg): 90.00 90.00 90.00
Last column: nearest neighbours and their distance in Å.
Space group P4/mmm (No. 123)
Asymmetric unit:
Cr 0.0000 0.0000 0.0000 (multiplicity 1)  4 I 3.92, 8 Sb 3.93
Sb 0.0000 0.5000 0.5000 (multiplicity 2)  2 Br 2.77
I 0.5000 0.5000 0.0000 (multiplicity 1)  2 Br 2.78
Br 0.5000 0.5000 0.5000 (multiplicity 1)  4 Sb 2.77, 2 I 2.78